Computed, not measured: an optimized crystal structure of KNaBe2F6 at the PBE-GGA level of DFT.

Cell and atoms, written as POSCAR:
```
KNaBe2F6
1.0
5.029 -5.030 0.000
5.029 5.030 0.000
-0.917 0.000 5.109
K Na Be F
2 2 4 12
Direct
0.189 0.811 0.750
0.811 0.189 0.250
0.398 0.602 0.250
0.602 0.398 0.750
0.134 0.301 0.785
0.301 0.134 0.285
0.699 0.866 0.715
0.866 0.699 0.215
0.069 0.635 0.269
0.153 0.176 0.029
0.176 0.153 0.529
0.289 0.454 0.837
0.365 0.931 0.231
0.454 0.289 0.337
0.546 0.711 0.663
0.635 0.069 0.769
0.711 0.546 0.163
0.824 0.847 0.471
0.847 0.824 0.971
0.931 0.365 0.731
```

Formation energy (no corrections) ... -3.126 eV/atom
SG ... C2/c
Size of the total moment ... 0.1 μB per formula unit

---

Computed, not measured: an optimized crystal structure of K2NaBeF6 at the PBE-GGA level of DFT.

Cell and atoms, written as POSCAR:
```
K2NaBeF6
1.0
0.000 4.054 4.054
4.054 0.000 4.054
4.054 4.054 0.000
K Na Be F
2 1 1 6
Direct
0.250 0.250 0.250
0.750 0.750 0.750
0.000 0.000 0.000
0.500 0.500 0.500
0.282 0.282 0.718
0.282 0.718 0.282
0.282 0.718 0.718
0.718 0.282 0.282
0.718 0.282 0.718
0.718 0.718 0.282
```

Formation energy (no corrections) ... -2.596 eV/atom
SG ... Fm-3m
Size of the total moment ... 1.1 μB per formula unit

---

Computed, not measured: an optimized crystal structure of KNdBe2F8 at the PBE-GGA level of DFT.

Cell and atoms, written as POSCAR:
```
KNdBe2F8
1.0
4.190 -2.793 0.000
4.190 2.793 0.000
-0.311 0.000 8.348
K Nd Be F
1 1 2 8
Direct
0.000 0.000 0.000
0.000 0.000 0.500
0.378 0.378 0.731
0.622 0.622 0.269
0.251 0.717 0.709
0.268 0.268 0.568
0.283 0.749 0.291
0.293 0.293 0.884
0.707 0.707 0.116
0.717 0.251 0.709
0.732 0.732 0.432
0.749 0.283 0.291
```

Formation energy (no corrections) ... -3.454 eV/atom
SG ... C2/m
Size of the total moment ... 0.2 μB per formula unit

---

Q: Among the records above, which one has the lowest formation energy (no corrections)?
A: KNdBe2F8

---

Q: Number 1 is which compound?
A: KNaBe2F6